Density functional theory data (PBE-GGA) for a geometry-optimized Ba2CdCoNi structure.

DFT formation energy: 0.829 eV/atom
Total energy: -2.70 eV/atom
M_tot: 0.311 μB per atom

Unit cell a=6.361 b=4.800 c=6.361 alpha=90.00 beta=90.00 gamma=90.00
Last column: magnetic moment on the atom in μB.
Atoms (fractional coordinates):
Cd 0.000 0.000 0.000  -0.02
Ba 0.500 0.000 0.000  -0.06
Ni 0.500 0.500 0.500  0.55
Ba 0.000 0.000 0.500  -0.05
Co 0.000 0.500 0.000  1.52

Density functional theory data (PBE-GGA) for a geometry-optimized NiPRu2 structure.

DFT formation energy: 0.563 eV/atom
Total energy: -6.87 eV/atom
M_tot: 0.000 μB per atom

Unit cell a=4.984 b=4.984 c=6.698 alpha=68.15 beta=68.15 gamma=90.00
Atoms (fractional coordinates):
Ni 0.000 0.000 0.000
Ni 0.750 0.250 0.500
P 0.500 0.500 0.000
Ru 0.141 0.625 0.250
Ru 0.875 0.859 0.750
Ru 0.375 0.391 0.750
P 0.250 0.750 0.500
Ru 0.609 0.125 0.250

Density functional theory data (PBE-GGA) for a geometry-optimized Sr4HAu structure.

Total energy: -2.61 eV/atom
Energy above the most stable polymorph in this dataset: 0.000 eV/atom
M_tot: 0.000 μB per atom

Unit cell a=6.819 b=6.747 c=9.952 alpha=90.00 beta=90.00 gamma=105.78
Atoms (fractional coordinates):
H 0.338 0.098 0.250
Sr 0.269 0.278 0.452
Sr 0.853 0.255 0.750
Sr 0.731 0.722 0.548
H 0.662 0.902 0.750
Sr 0.296 0.848 0.750
Au 0.414 0.383 0.750
Sr 0.704 0.152 0.250
Au 0.586 0.617 0.250
Sr 0.269 0.278 0.048
Sr 0.147 0.745 0.250
Sr 0.731 0.722 0.952

What is the total energy in the first record? -2.70 eV/atom

Among the records above, which one has the highest total energy? Sr4HAu

The lowest total energy belongs to which entry? NiPRu2